<A>
VASP calculation (PBE) on a relaxed BaReSN2 crystal.

Cell lengths 4.0706, 4.9383, 4.0706 Å; angles 90.00, 90.00, 90.00 degrees
With the nearest neighbours (Å) after each atom.
Positions (direct):
N  0.0000  0.0000  0.5000  2 Re 2.04
N  0.5000  0.0000  0.0000  2 Re 2.04
Re  0.0000  0.0000  0.0000  4 N 2.04
Ba  0.5000  0.5000  0.5000  4 S 2.88, 8 N 3.20
S  0.0000  0.5000  0.0000  2 Re 2.47

Properties
ρ   7.78 Mg/m³
SG   No. 123



<B>
VASP calculation (PBE) on a relaxed BaReSN2 crystal.

Cell lengths 4.2286, 4.2286, 5.9889 Å; angles 90.00, 90.00, 90.00 degrees
With the nearest neighbours (Å) after each atom.
Positions (direct):
N  0.5000  0.0000  0.0000  2 Ba 2.11
N  0.0000  0.5000  0.0000  2 Ba 2.11
Re  0.5000  0.5000  0.5000  4 S 2.99
Ba  0.0000  0.0000  0.0000  4 N 2.11
S  0.0000  0.0000  0.5000  4 Re 2.99, 2 Ba 2.99

Properties
ρ   5.95 Mg/m³
SG   No. 123



Stability, descending: <A>, <B>



<A>
VASP calculation (PBE) on a relaxed BaReS2N crystal.

Cell lengths 5.0093, 5.0093, 3.8684 Å; angles 90.00, 90.00, 90.00 degrees
With the nearest neighbours (Å) after each atom.
Positions (direct):
S  0.0000  0.5000  0.0000  2 Re 2.50
S  0.5000  0.0000  0.0000  2 Re 2.50
N  0.0000  0.0000  0.5000  2 Re 1.93
Ba  0.5000  0.5000  0.5000  8 S 3.16, 4 N 3.54
Re  0.0000  0.0000  0.0000  2 N 1.93

Properties
ρ   6.87 Mg/m³
SG   No. 123



<B>
VASP calculation (PBE) on a relaxed BaReS2N crystal.

Cell lengths 5.7521, 5.7521, 4.5964 Å; angles 90.00, 90.00, 90.00 degrees
With the nearest neighbours (Å) after each atom.
Positions (direct):
Ba  0.0000  0.0000  0.0000  2 N 2.30
S  0.0000  0.5000  0.0000  2 Ba 2.88
S  0.5000  0.0000  0.0000  2 Ba 2.88
Re  0.5000  0.5000  0.5000  8 S 3.68, 4 N 4.07
N  0.0000  0.0000  0.5000  2 Ba 2.30

Properties
ρ   4.39 Mg/m³
SG   No. 123



Stability, descending: <A>, <B>



<A>
VASP calculation (PBE) on a relaxed BaReTeN2 crystal.

Cell lengths 4.2334, 4.2334, 5.5730 Å; angles 90.00, 90.00, 90.00 degrees
With the nearest neighbours (Å) after each atom.
Positions (direct):
Re  0.0000  0.0000  0.0000  4 N 2.12
N  0.5000  0.0000  0.0000  2 Re 2.12
N  0.0000  0.5000  0.0000  2 Re 2.12
Te  0.0000  0.0000  0.5000  2 Re 2.79, 4 Ba 2.99
Ba  0.5000  0.5000  0.5000  4 Te 2.99

Properties
ρ   7.97 Mg/m³
SG   No. 123



<B>
VASP calculation (PBE) on a relaxed BaReTeN2 crystal.

Cell lengths 4.4878, 4.4878, 7.2155 Å; angles 90.00, 90.00, 90.00 degrees
With the nearest neighbours (Å) after each atom.
Positions (direct):
Te  0.0000  0.0000  0.5000  4 Re 3.17
N  0.5000  0.0000  0.0000  2 Ba 2.24
N  0.0000  0.5000  0.0000  2 Ba 2.24
Re  0.5000  0.5000  0.5000  4 Te 3.17
Ba  0.0000  0.0000  0.0000  4 N 2.24

Properties
ρ   5.47 Mg/m³
SG   No. 123



Stability, descending: <A>, <B>



<A>
VASP calculation (PBE) on a relaxed BaRhN2 crystal.

Cell lengths 6.7260, 6.7260, 6.7260 Å; angles 29.68, 29.68, 29.68 degrees
With the nearest neighbours (Å) after each atom.
Positions (direct):
Rh  0.5000  0.5000  0.5000  6 N 2.12
N  0.8710  0.8710  0.8710  3 Rh 2.12
N  0.1290  0.1290  0.1290  3 Rh 2.12
Ba  0.0000  0.0000  0.0000  2 N 2.49

Properties
ρ   6.75 Mg/m³
SG   No. 166



<B>
VASP calculation (PBE) on a relaxed BaRhN2 crystal.

Cell lengths 5.3395, 5.3395, 6.3082 Å; angles 64.96, 64.96, 90.00 degrees
With the nearest neighbours (Å) after each atom.
Positions (direct):
Ba  0.0000  0.0000  0.0000  4 N 2.70
Ba  0.7500  0.2500  0.5000  4 N 2.70
Rh  0.5000  0.5000  0.0000  4 N 1.96
Rh  0.2500  0.7500  0.5000  4 N 1.96
N  0.3750  0.4956  0.7500  2 Rh 1.96
N  0.2456  0.6250  0.2500  2 Rh 1.96
N  0.5044  0.1250  0.2500  2 Rh 1.96
N  0.8750  0.7544  0.7500  2 Rh 1.96

Properties
ρ   6.18 Mg/m³
SG   No. 122



<C>
VASP calculation (PBE) on a relaxed BaRhN2 crystal.

Cell lengths 4.3757, 4.3757, 4.3757 Å; angles 60.00, 60.00, 60.00 degrees
With the nearest neighbours (Å) after each atom.
Positions (direct):
N  0.2500  0.2500  0.2500  4 Ba 2.68, 4 Rh 2.68
N  0.7500  0.7500  0.7500  4 Ba 2.68, 4 Rh 2.68
Rh  0.0000  0.0000  0.0000  8 N 2.68
Ba  0.5000  0.5000  0.5000  8 N 2.68

Properties
ρ   7.52 Mg/m³
SG   No. 225



Stability, descending: <B>, <A>, <C>



<A>
VASP calculation (PBE) on a relaxed Ba6RhN2 crystal.

Cell lengths 4.8595, 7.9580, 10.2784 Å; angles 100.56, 90.00, 107.78 degrees
With the nearest neighbours (Å) after each atom.
Positions (direct):
Ba  0.1821  0.3641  0.8912  3 N 2.72-2.78
Ba  0.8179  0.6359  0.1088  3 N 2.72-2.78
Ba  0.1042  0.2084  0.2398  1 N 2.52
Ba  0.6294  0.2588  0.5992  1 N 2.75
Ba  0.3706  0.7412  0.4008  1 N 2.75
Ba  0.8958  0.7916  0.7602  1 N 2.52
N  0.2522  0.5044  0.1616  5 Ba 2.52-2.78
N  0.7478  0.4956  0.8384  5 Ba 2.52-2.78
Rh  0.0000  0.0000  0.5000  6 Ba 3.17-3.36

Properties
ρ   4.27 Mg/m³
SG   No. 12



<B>
VASP calculation (PBE) on a relaxed Ba6RhN2 crystal.

Cell lengths 4.1997, 9.0760, 10.0806 Å; angles 108.25, 102.02, 90.00 degrees
With the nearest neighbours (Å) after each atom.
Positions (direct):
Ba  0.3393  0.8726  0.6786  2 N 2.86, 1 Rh 3.01
Ba  0.6607  0.1274  0.3214  2 N 2.86, 1 Rh 3.01
Ba  0.6814  0.5580  0.3628  3 N 2.72-2.80
Ba  0.3186  0.4420  0.6372  3 N 2.72-2.80
Ba  0.9791  0.7444  0.9583  1 N 2.85, 2 Rh 3.06
Ba  0.0209  0.2556  0.0417  1 N 2.85, 2 Rh 3.06
N  0.1730  0.3486  0.3461  6 Ba 2.72-2.86
N  0.8270  0.6514  0.6539  6 Ba 2.72-2.86
Rh  0.5000  0.0000  0.0000  6 Ba 3.01-3.06

Properties
ρ   4.45 Mg/m³
SG   No. 12



Stability, descending: <B>, <A>



<A>
VASP calculation (PBE) on a relaxed Ba2SnRhN crystal.

Cell lengths 6.4490, 4.0903, 6.4490 Å; angles 90.00, 90.00, 90.00 degrees
With the nearest neighbours (Å) after each atom.
Positions (direct):
Ba  0.5000  0.0000  0.0000  2 Sn 3.22
Ba  0.0000  0.0000  0.5000  2 Sn 3.22
Sn  0.0000  0.0000  0.0000  2 N 2.05
N  0.0000  0.5000  0.0000  2 Sn 2.05
Rh  0.5000  0.5000  0.5000  8 Ba 3.82, 2 Rh 4.09

Properties
ρ   4.98 Mg/m³
SG   No. 123



<B>
VASP calculation (PBE) on a relaxed Ba2SnRhN crystal.

Cell lengths 6.0514, 6.0514, 3.8084 Å; angles 90.00, 90.00, 90.00 degrees
With the nearest neighbours (Å) after each atom.
Positions (direct):
Ba  0.0000  0.5000  0.0000  2 N 3.03
Ba  0.5000  0.0000  0.0000  2 N 3.03
Rh  0.0000  0.0000  0.5000  2 N 1.90
Sn  0.5000  0.5000  0.5000  8 Ba 3.58, 2 Sn 3.81
N  0.0000  0.0000  0.0000  2 Rh 1.90

Properties
ρ   6.08 Mg/m³
SG   No. 123



Stability, descending: <B>, <A>



<A>
VASP calculation (PBE) on a relaxed Ba2TlRhN crystal.

Cell lengths 4.3801, 7.3896, 9.9632 Å; angles 113.28, 90.00, 90.00 degrees
With the nearest neighbours (Å) after each atom.
Positions (direct):
Ba  0.2500  0.2106  0.9722  3 N 2.72-2.97
Ba  0.2500  0.2271  0.3712  2 N 2.93
Ba  0.7500  0.7729  0.6288  2 N 2.93
Ba  0.7500  0.7894  0.0278  3 N 2.72-2.97
Tl  0.7500  0.2930  0.6959  2 Rh 2.72
Tl  0.2500  0.7070  0.3041  2 Rh 2.72
N  0.7500  0.1890  0.1671  1 Rh 1.91
N  0.2500  0.8110  0.8329  1 Rh 1.91
Rh  0.2500  0.5293  0.7527  1 N 1.91
Rh  0.7500  0.4707  0.2473  1 N 1.91

Properties
ρ   6.68 Mg/m³
SG   No. 11



<B>
VASP calculation (PBE) on a relaxed Ba2TlRhN crystal.

Cell lengths 6.0004, 6.0004, 3.8413 Å; angles 90.00, 90.00, 90.00 degrees
With the nearest neighbours (Å) after each atom.
Positions (direct):
Ba  0.0000  0.5000  0.0000  2 N 3.00
Ba  0.5000  0.0000  0.0000  2 N 3.00
Rh  0.0000  0.0000  0.5000  2 N 1.92
N  0.0000  0.0000  0.0000  2 Rh 1.92
Tl  0.5000  0.5000  0.5000  8 Ba 3.56, 2 Tl 3.84

Properties
ρ   7.15 Mg/m³
SG   No. 123



Stability, descending: <B>, <A>



<A>
VASP calculation (PBE) on a relaxed BaRuSN2 crystal.

Cell lengths 4.4923, 4.4923, 6.1733 Å; angles 90.00, 90.00, 90.00 degrees
With the nearest neighbours (Å) after each atom.
Positions (direct):
Ru  0.5000  0.5000  0.5000  4 S 3.18
Ba  0.0000  0.0000  0.0000  4 N 2.25
S  0.0000  0.0000  0.5000  2 Ba 3.09, 4 Ru 3.18
N  0.0000  0.5000  0.0000  2 Ba 2.25
N  0.5000  0.0000  0.0000  2 Ba 2.25

Properties
ρ   3.98 Mg/m³
SG   No. 123



<B>
VASP calculation (PBE) on a relaxed BaRuSN2 crystal.

Cell lengths 4.0544, 4.0544, 5.1006 Å; angles 90.00, 90.00, 90.00 degrees
With the nearest neighbours (Å) after each atom.
Positions (direct):
S  0.0000  0.0000  0.5000  2 Ru 2.55
N  0.5000  0.0000  0.0000  2 Ru 2.03
N  0.0000  0.5000  0.0000  2 Ru 2.03
Ba  0.5000  0.5000  0.5000  4 S 2.87
Ru  0.0000  0.0000  0.0000  4 N 2.03

Properties
ρ   5.91 Mg/m³
SG   No. 123



Stability, descending: <B>, <A>



<A>
VASP calculation (PBE) on a relaxed BaRuS2N crystal.

Cell lengths 5.7904, 5.7904, 5.0631 Å; angles 90.00, 90.00, 90.00 degrees
With the nearest neighbours (Å) after each atom.
Positions (direct):
S  0.0000  0.5000  0.0000  2 Ba 2.90
S  0.5000  0.0000  0.0000  2 Ba 2.90
Ba  0.0000  0.0000  0.0000  2 N 2.53
Ru  0.5000  0.5000  0.5000  8 S 3.85, 4 N 4.09
N  0.0000  0.0000  0.5000  2 Ba 2.53

Properties
ρ   3.10 Mg/m³
SG   No. 123



<B>
VASP calculation (PBE) on a relaxed BaRuS2N crystal.

Cell lengths 5.0704, 5.0704, 3.7891 Å; angles 90.00, 90.00, 90.00 degrees
With the nearest neighbours (Å) after each atom.
Positions (direct):
S  0.0000  0.5000  0.0000  2 Ru 2.54
S  0.5000  0.0000  0.0000  2 Ru 2.54
Ru  0.0000  0.0000  0.0000  2 N 1.89
N  0.0000  0.0000  0.5000  2 Ru 1.89
Ba  0.5000  0.5000  0.5000  8 S 3.16

Properties
ρ   5.40 Mg/m³
SG   No. 123



Stability, descending: <B>, <A>



<A>
VASP calculation (PBE) on a relaxed BaRuSe2N crystal.

Cell lengths 5.3714, 5.3714, 3.7724 Å; angles 90.00, 90.00, 90.00 degrees
With the nearest neighbours (Å) after each atom.
Positions (direct):
Se  0.0000  0.5000  0.0000  2 Ru 2.69
Se  0.5000  0.0000  0.0000  2 Ru 2.69
Ba  0.5000  0.5000  0.5000  8 Se 3.28
Ru  0.0000  0.0000  0.0000  2 N 1.89
N  0.0000  0.0000  0.5000  2 Ru 1.89

Properties
ρ   6.26 Mg/m³
SG   No. 123



<B>
VASP calculation (PBE) on a relaxed BaRuSe2N crystal.

Cell lengths 5.9268, 5.9268, 4.4868 Å; angles 90.00, 90.00, 90.00 degrees
With the nearest neighbours (Å) after each atom.
Positions (direct):
N  0.0000  0.0000  0.5000  2 Ba 2.24
Ba  0.0000  0.0000  0.0000  2 N 2.24
Se  0.5000  0.0000  0.0000  2 Ba 2.96
Se  0.0000  0.5000  0.0000  2 Ba 2.96
Ru  0.5000  0.5000  0.5000  8 Se 3.72

Properties
ρ   4.32 Mg/m³
SG   No. 123



Stability, descending: <A>, <B>



<A>
VASP calculation (PBE) on a relaxed BaTeRuN2 crystal.

Cell lengths 4.4846, 4.4846, 7.1436 Å; angles 90.00, 90.00, 90.00 degrees
With the nearest neighbours (Å) after each atom.
Positions (direct):
N  0.5000  0.0000  0.0000  2 Ba 2.24
N  0.0000  0.5000  0.0000  2 Ba 2.24
Ba  0.0000  0.0000  0.0000  4 N 2.24
Ru  0.5000  0.5000  0.5000  4 Te 3.17
Te  0.0000  0.0000  0.5000  4 Ru 3.17

Properties
ρ   4.55 Mg/m³
SG   No. 123



<B>
VASP calculation (PBE) on a relaxed BaTeRuN2 crystal.

Cell lengths 4.2665, 4.2665, 5.5159 Å; angles 90.00, 90.00, 90.00 degrees
With the nearest neighbours (Å) after each atom.
Positions (direct):
Ru  0.0000  0.0000  0.0000  4 N 2.13
N  0.5000  0.0000  0.0000  2 Ru 2.13
N  0.0000  0.5000  0.0000  2 Ru 2.13
Ba  0.5000  0.5000  0.5000  4 Te 3.02
Te  0.0000  0.0000  0.5000  2 Ru 2.76, 4 Ba 3.02

Properties
ρ   6.52 Mg/m³
SG   No. 123



Stability, descending: <B>, <A>



<A>
VASP calculation (PBE) on a relaxed Ba3SN crystal.

Cell lengths 7.6315, 9.7608, 9.7608 Å; angles 81.67, 83.66, 83.66 degrees
With the nearest neighbours (Å) after each atom.
Positions (direct):
Ba  0.1237  0.9459  0.7909  1 N 2.81, 1 S 3.12
Ba  0.6237  0.7909  0.9459  1 N 2.81, 1 S 3.12
Ba  0.4069  0.8980  0.3789  1 N 2.68
Ba  0.6715  0.4097  0.2905  2 N 2.64-2.90
Ba  0.9069  0.3789  0.8980  1 N 2.68
Ba  0.1715  0.2905  0.4097  2 N 2.64-2.90
Ba  0.3763  0.2091  0.0541  1 N 2.81, 1 S 3.12
Ba  0.8763  0.0541  0.2091  1 N 2.81, 1 S 3.12
Ba  0.3285  0.5903  0.7095  2 N 2.64-2.90
Ba  0.0931  0.6211  0.1020  1 N 2.68
Ba  0.8285  0.7095  0.5903  2 N 2.64-2.90
Ba  0.5931  0.1020  0.6211  1 N 2.68
S  0.2500  0.9120  0.0880  6 Ba 3.12-3.21
S  0.7500  0.7319  0.2681  6 Ba 3.10-3.34
S  0.2500  0.2681  0.7319  6 Ba 3.10-3.34
S  0.7500  0.0880  0.9120  6 Ba 3.12-3.21
N  0.0199  0.6739  0.8359  4 Ba 2.64-2.90
N  0.4801  0.1641  0.3261  4 Ba 2.64-2.90
N  0.5199  0.8359  0.6739  4 Ba 2.64-2.90
N  0.9801  0.3261  0.1641  4 Ba 2.64-2.90

Properties
ρ   4.27 Mg/m³
SG   No. 15



<B>
VASP calculation (PBE) on a relaxed Ba3SN crystal.

Cell lengths 5.4625, 5.4625, 5.4625 Å; angles 90.00, 90.00, 90.00 degrees
With the nearest neighbours (Å) after each atom.
Positions (direct):
Ba  0.0000  0.0000  0.5000  2 N 2.73
Ba  0.5000  0.0000  0.0000  2 N 2.73
Ba  0.0000  0.5000  0.0000  2 N 2.73
N  0.0000  0.0000  0.0000  6 Ba 2.73
S  0.5000  0.5000  0.5000  12 Ba 3.86

Properties
ρ   4.67 Mg/m³
SG   No. 221



Stability, descending: <A>, <B>